# 1
Density functional theory data (PBE) for Sm5Th3H12 after structural relaxation.

Calculated values
final energy: -371.94 eV per cell

abc: 11.806 12.238 10.502
angles: 104.57 108.46 110.51
Positions (direct):
H 0.667 0.141 0.351
H 0.839 0.674 0.190
H 0.383 0.698 0.581
H 0.197 0.160 0.267
H 0.835 0.979 0.163
H 0.469 0.754 0.332
H 0.570 0.411 0.707
H 0.229 0.970 0.852
H 0.807 0.970 0.493
H 0.688 0.325 0.554
H 0.012 0.195 0.928
H 0.352 0.696 0.953
H 0.082 0.352 0.244
H 0.090 0.470 0.057
H 0.918 0.970 0.866
H 0.361 0.258 0.116
H 0.494 0.102 0.440
H 0.467 0.432 0.996
H 0.215 0.918 0.495
H 0.685 0.208 0.921
H 0.706 0.637 0.494
H 0.430 0.108 0.761
H 0.646 0.889 0.241
H 0.531 0.440 0.440
H 0.464 0.895 0.897
H 0.022 0.086 0.492
H 0.188 0.340 0.516
H 0.200 0.816 0.146
H 0.062 0.544 0.630
H 0.924 0.345 0.704
H 0.646 0.643 0.799
H 0.900 0.758 0.784
H 0.846 0.165 0.099
H 0.313 0.463 0.385
H 0.931 0.466 0.353
H 0.492 0.090 0.087
H 0.649 0.877 0.598
H 0.023 0.589 0.221
H 0.371 0.888 0.419
H 0.302 0.051 0.145
H 0.581 0.032 0.662
H 0.715 0.424 0.102
H 0.875 0.551 0.547
H 0.666 0.740 0.043
H 0.170 0.713 0.549
H 0.290 0.481 0.991
H 0.005 0.883 0.197
H 0.354 0.170 0.564
Sm 0.830 0.841 0.962
Sm 0.492 0.664 0.134
Sm 0.857 0.880 0.314
Sm 0.230 0.380 0.132
Sm 0.375 0.889 0.644
Sm 0.509 0.646 0.474
Sm 0.788 0.569 0.337
Sm 0.896 0.374 0.113
Sm 0.370 0.338 0.497
Sm 0.018 0.172 0.304
Sm 0.241 0.679 0.247
Sm 0.201 0.067 0.651
Sm 0.665 0.036 0.131
Sm 0.980 0.685 0.063
Sm 0.506 0.250 0.000
Sm 0.596 0.968 0.430
Sm 0.838 0.852 0.624
Sm 0.960 0.173 0.674
Sm 0.860 0.349 0.479
Sm 0.144 0.081 0.982
Th 0.654 0.534 0.959
Th 0.254 0.000 0.331
Th 0.286 0.378 0.771
Th 0.172 0.517 0.481
Th 0.770 0.049 0.844
Th 0.591 0.229 0.692
Th 0.477 0.701 0.816
Th 0.130 0.529 0.858
Th 0.517 0.233 0.310
Th 0.069 0.749 0.702
Th 0.736 0.540 0.658
Th 0.321 0.877 0.017

# 2
Density functional theory data (PBE) for K4MgTl after structural relaxation.

Calculated values
energy of formation: 0.30 eV per atom

abc: 7.501 7.501 7.501
angles: 60.00 60.00 60.00
Positions (direct):
K 0.875 0.375 0.375
K 0.375 0.375 0.875
K 0.375 0.875 0.375
K 0.375 0.375 0.375
Mg 0.750 0.750 0.750
Tl 0.000 0.000 0.000

# 3
Density functional theory data (PBE) for CeTh3ReHg after structural relaxation.

Calculated values
energy of formation: -0.05 eV per atom

abc: 4.679 7.680 9.611
angles: 110.59 90.00 90.00
Positions (direct):
Ce 0.250 0.085 0.599
Ce 0.750 0.915 0.401
Th 0.750 0.895 0.076
Th 0.250 0.105 0.924
Th 0.250 0.624 0.453
Th 0.750 0.376 0.547
Th 0.750 0.449 0.139
Th 0.250 0.551 0.861
Re 0.250 0.730 0.191
Re 0.750 0.270 0.809
Hg 0.250 0.172 0.283
Hg 0.750 0.828 0.717

# 4
Density functional theory data (PBE) for Y3GeW after structural relaxation.

Calculated values
energy of formation: 0.77 eV per atom
E above lowest polymorph: 165 meV per atom

abc: 5.363 5.363 5.363
angles: 90.00 90.00 90.00
Last column: magnetic moment on the atom in μB.
Positions (direct):
Y 0.000 0.500 0.000  -0.03
Y 0.000 0.000 0.500  -0.03
Y 0.500 0.000 0.000  -0.07
Ge 0.000 0.000 0.000  0.05
W 0.500 0.500 0.500  2.48

# 5
Density functional theory data (PBE) for Na2LiPdF6 after structural relaxation.

Calculated values
formation energy from raw total energies: -2.224 eV/atom
E above lowest polymorph: 0 meV per atom

abc: 5.562 5.655 7.845
angles: 90.00 87.56 90.00
Last column: magnetic moment on the atom in μB.
Positions (direct):
Na 0.022 0.943 0.261  0.00
Na 0.522 0.557 0.761  0.00
Na 0.978 0.057 0.739  0.00
Na 0.478 0.443 0.239  0.00
Li 0.500 0.000 0.000  0.01
Li 0.000 0.500 0.500  0.01
Pd 0.500 0.000 0.500  0.65
Pd 0.000 0.500 0.000  0.65
F 0.316 0.716 0.057  0.12
F 0.816 0.784 0.557  0.12
F 0.684 0.284 0.943  0.12
F 0.184 0.216 0.443  0.12
F 0.313 0.712 0.439  0.02
F 0.813 0.788 0.939  0.02
F 0.687 0.288 0.561  0.02
F 0.187 0.212 0.061  0.02
F 0.887 0.546 0.243  0.02
F 0.387 0.954 0.743  0.02
F 0.113 0.454 0.757  0.02
F 0.613 0.046 0.257  0.02

# 6
Density functional theory data (PBE) for Tb3PmRu after structural relaxation.

Calculated values
energy of formation: -0.13 eV per atom
E above lowest polymorph: 0 meV per atom

abc: 6.266 6.442 7.668
angles: 90.00 90.00 90.00
Positions (direct):
Tb 0.420 0.335 0.201
Tb 0.426 0.853 0.951
Tb 0.926 0.499 0.451
Tb 0.920 0.017 0.701
Tb 0.926 0.499 0.950
Tb 0.426 0.853 0.450
Pm 0.432 0.329 0.701
Pm 0.932 0.024 0.201
Ru 0.175 0.679 0.701
Ru 0.675 0.674 0.201

# 7
Density functional theory data (PBE) for Cs3As7 after structural relaxation.

Calculated values
energy of formation: -0.41 eV per atom

abc: 10.387 13.628 22.595
angles: 90.00 90.00 90.00
Positions (direct):
Cs 0.703 0.969 0.730
Cs 0.297 0.469 0.770
Cs 0.395 0.225 0.621
Cs 0.203 0.531 0.270
Cs 0.239 0.953 0.477
Cs 0.261 0.453 0.477
Cs 0.895 0.225 0.879
Cs 0.605 0.725 0.879
Cs 0.297 0.031 0.270
Cs 0.761 0.453 0.023
Cs 0.261 0.047 0.977
Cs 0.703 0.531 0.230
Cs 0.797 0.469 0.730
Cs 0.105 0.775 0.121
Cs 0.395 0.275 0.121
Cs 0.895 0.275 0.379
Cs 0.605 0.775 0.379
Cs 0.203 0.969 0.770
Cs 0.739 0.953 0.023
Cs 0.105 0.725 0.621
Cs 0.797 0.031 0.230
Cs 0.239 0.547 0.977
Cs 0.739 0.547 0.523
Cs 0.761 0.047 0.523
As 0.590 0.095 0.366
As 0.923 0.829 0.454
As 0.031 0.831 0.948
As 0.237 0.707 0.400
As 0.410 0.905 0.634
As 0.577 0.171 0.954
As 0.045 0.381 0.146
As 0.843 0.204 0.683
As 0.455 0.881 0.146
As 0.436 0.778 0.706
As 0.955 0.881 0.354
As 0.657 0.796 0.183
As 0.564 0.278 0.794
As 0.763 0.207 0.100
As 0.064 0.222 0.206
As 0.455 0.619 0.646
As 0.936 0.722 0.294
As 0.910 0.905 0.866
As 0.157 0.796 0.317
As 0.657 0.704 0.683
As 0.157 0.704 0.817
As 0.077 0.171 0.546
As 0.531 0.831 0.552
As 0.737 0.707 0.100
As 0.955 0.619 0.854
As 0.969 0.331 0.552
As 0.045 0.119 0.646
As 0.090 0.405 0.634
As 0.590 0.405 0.866
As 0.737 0.793 0.600
As 0.031 0.669 0.448
As 0.077 0.329 0.046
As 0.423 0.829 0.046
As 0.343 0.204 0.817
As 0.969 0.169 0.052
As 0.410 0.595 0.134
As 0.469 0.169 0.448
As 0.064 0.278 0.706
As 0.545 0.381 0.354
As 0.843 0.296 0.183
As 0.436 0.722 0.206
As 0.763 0.293 0.600
As 0.564 0.222 0.294
As 0.545 0.119 0.854
As 0.090 0.095 0.134
As 0.237 0.793 0.900
As 0.423 0.671 0.546
As 0.263 0.293 0.900
As 0.263 0.207 0.400
As 0.936 0.778 0.794
As 0.910 0.595 0.366
As 0.531 0.669 0.052
As 0.469 0.331 0.948
As 0.923 0.671 0.954
As 0.577 0.329 0.454
As 0.343 0.296 0.317

# 8
Density functional theory data (PBE) for Te3Ir after structural relaxation.

Calculated values
formation energy from raw total energies: 0.041 eV/atom

abc: 3.831 5.987 6.601
angles: 115.79 90.06 108.94
Positions (direct):
Ir 0.909 0.275 0.484
Te 0.132 0.725 0.490
Te 0.444 0.344 0.781
Te 0.274 0.011 0.192

# 9
Density functional theory data (PBE) for Sm4Er2Tl after structural relaxation.

Calculated values
energy of formation: 0.23 eV per atom
E above lowest polymorph: 275 meV per atom

abc: 3.529 8.211 8.211
angles: 90.00 90.00 90.00
Positions (direct):
Sm 0.998 0.285 0.715
Sm 0.998 0.715 0.285
Sm 0.002 0.285 0.285
Sm 0.002 0.715 0.715
Er 0.500 0.000 0.500
Er 0.500 0.500 0.000
Tl 0.000 0.000 0.000

Question: Which formula does entry 8 have?
Answer: Te3Ir